--- a ---
DFT (PBE) results for a geometry-optimized PrDy2S structure.

Computed properties:
crystal system	trigonal
magnetic moment	0.0	Bohr magnetons per cell

```
data_PrDy2S
_chemical_formula_sum 'Pr3 Dy6 S3'
_symmetry_space_group_name_H-M 'R -3 m'
_symmetry_Int_Tables_number 166
_symmetry_space_group_name_Hall '-R 3 2"'
_cell_length_a 3.6731
_cell_length_b 3.6731
_cell_length_c 30.6611
_cell_angle_alpha 90.00
_cell_angle_beta 90.00
_cell_angle_gamma 120.00
loop_
_atom_site_label
_atom_site_type_symbol
_atom_site_fract_x
_atom_site_fract_y
_atom_site_fract_z
Pr1 Pr 0.0000 0.0000 0.0000
Dy1 Dy 0.0000 0.0000 0.1132
S1 S 0.0000 0.0000 0.5000
```

--- b ---
DFT (PBE) results for a geometry-optimized PrDy2S structure.

Computed properties:
crystal system	trigonal
magnetic moment	0.0	Bohr magnetons per cell

```
data_PrDy2S
_chemical_formula_sum 'Pr3 Dy6 S3'
_symmetry_space_group_name_H-M 'R 3 m'
_symmetry_Int_Tables_number 160
_symmetry_space_group_name_Hall 'R 3 -2"'
_cell_length_a 3.7412
_cell_length_b 3.7412
_cell_length_c 28.3112
_cell_angle_alpha 90.00
_cell_angle_beta 90.00
_cell_angle_gamma 120.00
loop_
_atom_site_label
_atom_site_type_symbol
_atom_site_fract_x
_atom_site_fract_y
_atom_site_fract_z
Pr1 Pr 0.0000 0.0000 0.0000
Dy1 Dy 0.0000 0.0000 0.5592
Dy2 Dy 0.0000 0.0000 0.7742
S1 S 0.0000 0.0000 0.1669
```

Which one is the least stable? From the structures above, a.